Material: Pr2PaPb
Method: DFT, PBE
State: optimized geometry

Cell: 3.3656 3.3656 37.1221 Å, 90.00 90.00 120.00°
Space group R-3m (No. 166, hexagonal axes)
Asymmetric unit:
Pr 0.0000 0.0000 0.0890
Pa 0.0000 0.0000 0.0000
Pb 0.0000 0.0000 0.5000

## Properties
Calculated formation energy (eV per atom): 0.1826
Total magnetization (μB/f.u.): 0.00
V (Å³/atom): 30.35